Zn2CuGe after structural relaxation, computed with PBE.

Values from the calculation:
Formation enthalpy at 0 K (eV per formula unit): 0.38
M_tot (μB per cell): 0.000
DOS(E_F) (states/eV per atom): 0.33
Energy (eV/atom): -2.721

```
4
Lattice="3.899 0.000 0.000 0.000 3.899 0.000 0.000 0.000 3.937" Properties=species:S:1:pos:R:3 pbc="T T T"
Zn 0.000 1.949 0.000
Zn 1.949 0.000 0.000
Cu 0.000 0.000 1.969
Ge 1.949 1.949 1.969
```